Entry from Alexandria: V2NiNCl after structural relaxation (PBE-GGA).

Results
Its uncorrected formation energy is 1.431 eV/atom.

a = 4.324 Å, b = 4.324 Å, c = 3.930 Å
α = 90.00°, β = 90.00°, γ = 90.00°
Last column: magnetic moment on the atom in μB.
Atoms (fractional coordinates):
Ni: 0.000 0.000 0.500  0.04
N: 0.500 0.500 0.500  -0.18
V: 0.000 0.500 0.000  1.56
Cl: 0.000 0.000 0.000  -0.04
V: 0.500 0.000 0.000  1.56